# 1
# Ho8Tm6Tl

An optimized crystal structure of Ho8Tm6Tl (GGA-PBE, the Alexandria database).

Unit cell a=9.0715 b=9.0715 c=6.6738 alpha=90.00 beta=90.00 gamma=120.00
Positions (direct):
Ho 0.0164 0.3307 0.3881
Ho 0.3143 0.9836 0.3881
Ho 0.3307 0.3143 0.6119
Ho 0.3333 0.6667 0.6933
Ho 0.6667 0.3333 0.3067
Ho 0.6693 0.6857 0.3881
Ho 0.6857 0.0164 0.6119
Ho 0.9836 0.6693 0.6119
Tm 0.0783 0.6808 0.1034
Tm 0.3192 0.3976 0.1034
Tm 0.3976 0.0783 0.8966
Tm 0.6024 0.9217 0.1034
Tm 0.6808 0.6024 0.8966
Tm 0.9217 0.3192 0.8966
Tl 0.0000 0.0000 0.0000

The size of the total moment comes out at 0.00 μB per cell. The formation energy is 0.212 eV per atom. Its space group is P-3 (147).

=====

# 2
# SnPd2Rh2

An optimized crystal structure of SnPd2Rh2 (GGA-PBE, the Alexandria database).

Unit cell a=6.6732 b=6.6732 c=3.8500 alpha=90.00 beta=90.00 gamma=90.00
Positions (direct):
Sn 0.0000 0.0000 0.0000
Sn 0.5000 0.5000 0.0000
Pd 0.1619 0.3381 0.5000
Pd 0.3381 0.8381 0.5000
Pd 0.6619 0.1619 0.5000
Pd 0.8381 0.6619 0.5000
Rh 0.1335 0.6335 0.0000
Rh 0.3665 0.1335 0.0000
Rh 0.6335 0.8665 0.0000
Rh 0.8665 0.3665 0.0000

The size of the total moment comes out at 2.17 μB per cell. The formation energy is -0.002 eV per atom. The energy relative to the lowest polymorph listed for this composition comes out at 0 meV per atom. Its space group is P4/mbm (127).

=====

# 3
# Cd3Hg5

An optimized crystal structure of Cd3Hg5 (GGA-PBE, the Alexandria database).

Unit cell a=9.0878 b=9.0878 c=5.7159 alpha=90.00 beta=90.00 gamma=120.00
Positions (direct):
Cd 0.0000 0.3985 0.2500
Cd 0.0000 0.6015 0.7500
Cd 0.3985 0.0000 0.2500
Cd 0.3985 0.3985 0.7500
Cd 0.6015 0.0000 0.7500
Cd 0.6015 0.6015 0.2500
Hg 0.0000 0.2210 0.7500
Hg 0.0000 0.7790 0.2500
Hg 0.2210 0.0000 0.7500
Hg 0.2210 0.2210 0.2500
Hg 0.3333 0.6667 0.0000
Hg 0.3333 0.6667 0.5000
Hg 0.6667 0.3333 0.0000
Hg 0.6667 0.3333 0.5000
Hg 0.7790 0.0000 0.2500
Hg 0.7790 0.7790 0.7500

The size of the total moment comes out at 0.00 μB per cell. The formation energy is 0.031 eV per atom. The energy relative to the lowest polymorph listed for this composition comes out at 2 meV per atom. Its space group is P6_3/mcm (193).

=====

# 4
# HfZr2Ag2

An optimized crystal structure of HfZr2Ag2 (GGA-PBE, the Alexandria database).

Unit cell a=8.1018 b=8.1018 c=3.2156 alpha=90.00 beta=90.00 gamma=90.00
Positions (direct):
Hf 0.0000 0.0000 0.0000
Hf 0.5000 0.5000 0.0000
Zr 0.1773 0.3227 0.5000
Zr 0.3227 0.8227 0.5000
Zr 0.6773 0.1773 0.5000
Zr 0.8227 0.6773 0.5000
Ag 0.1212 0.6212 0.0000
Ag 0.3788 0.1212 0.0000
Ag 0.6212 0.8788 0.0000
Ag 0.8788 0.3788 0.0000

The size of the total moment comes out at 0.00 μB per cell. The formation energy is 0.111 eV per atom. The energy relative to the lowest polymorph listed for this composition comes out at 96 meV per atom. Its space group is P4/mbm (127).

=====

# 5
# CaNi2Hg

An optimized crystal structure of CaNi2Hg (GGA-PBE, the Alexandria database).

Unit cell a=4.4280 b=4.4280 c=5.3836 alpha=114.04 beta=114.04 gamma=59.93
Positions (direct):
Ca 0.0000 0.0000 0.0000
Ni 0.1888 0.1888 0.5660
Ni 0.8112 0.8112 0.4340
Hg 0.5000 0.5000 0.5000

The size of the total moment comes out at 0.00 μB per cell. The formation energy is -0.092 eV per atom. The energy relative to the lowest polymorph listed for this composition comes out at 0 meV per atom. Its space group is C2/m (12).

=====

# 6
# Ho3SnC

An optimized crystal structure of Ho3SnC (GGA-PBE, the Alexandria database).

Unit cell a=5.5788 b=5.5788 c=5.5788 alpha=90.00 beta=90.00 gamma=90.00
Positions (direct):
Ho 0.0000 0.0000 0.5000
Ho 0.0000 0.5000 0.0000
Ho 0.5000 0.0000 0.0000
Sn 0.0000 0.0000 0.0000
C 0.5000 0.5000 0.5000

The size of the total moment comes out at 0.00 μB per cell. The formation energy is 1.471 eV per atom. Its space group is Pm-3m (221).

=====

# 7
# CaZr2Pt

An optimized crystal structure of CaZr2Pt (GGA-PBE, the Alexandria database).

Unit cell a=5.7587 b=5.7587 c=3.0512 alpha=90.00 beta=90.00 gamma=120.89
Positions (direct):
Ca 0.0000 0.0000 0.0000
Zr 0.0000 0.5000 0.5000
Zr 0.5000 0.0000 0.5000
Pt 0.5000 0.5000 0.0000

The size of the total moment comes out at 0.00 μB per cell. The formation energy is -0.018 eV per atom. The energy relative to the lowest polymorph listed for this composition comes out at 440 meV per atom. Its space group is Cmmm (65).

=====

# 8
# Fe2TcAs

An optimized crystal structure of Fe2TcAs (GGA-PBE, the Alexandria database).

Unit cell a=2.7540 b=2.7540 c=6.5142 alpha=90.00 beta=90.00 gamma=90.00
Positions (direct):
Fe 0.0000 0.0000 0.2257
Fe 0.0000 0.0000 0.7743
Tc 0.5000 0.5000 0.5000
As 0.5000 0.5000 0.0000

The size of the total moment comes out at 0.00 μB per cell. The formation energy is 0.130 eV per atom. The energy relative to the lowest polymorph listed for this composition comes out at 90 meV per atom. Its space group is P4/mmm (123).

=====

Please write out number 3 again, unchanged.
# Cd3Hg5

An optimized crystal structure of Cd3Hg5 (GGA-PBE, the Alexandria database).

Unit cell a=9.0878 b=9.0878 c=5.7159 alpha=90.00 beta=90.00 gamma=120.00
Positions (direct):
Cd 0.0000 0.3985 0.2500
Cd 0.0000 0.6015 0.7500
Cd 0.3985 0.0000 0.2500
Cd 0.3985 0.3985 0.7500
Cd 0.6015 0.0000 0.7500
Cd 0.6015 0.6015 0.2500
Hg 0.0000 0.2210 0.7500
Hg 0.0000 0.7790 0.2500
Hg 0.2210 0.0000 0.7500
Hg 0.2210 0.2210 0.2500
Hg 0.3333 0.6667 0.0000
Hg 0.3333 0.6667 0.5000
Hg 0.6667 0.3333 0.0000
Hg 0.6667 0.3333 0.5000
Hg 0.7790 0.0000 0.2500
Hg 0.7790 0.7790 0.7500

The size of the total moment comes out at 0.00 μB per cell. The formation energy is 0.031 eV per atom. The energy relative to the lowest polymorph listed for this composition comes out at 2 meV per atom. Its space group is P6_3/mcm (193).

=====

Q: Number 2 is which compound?
A: SnPd2Rh2